Entry 1:
Compound: ZrAsI2
Source: the Alexandria database
Functional: PBE-GGA
Structure: relaxed

```
ZrAsI2
1.0
-6.331 -5.704 0.016
0.620 -0.700 -4.001
7.207 -4.522 1.908
I As Zr
4 2 2
direct
0.300 0.000 0.092 I
0.300 0.500 0.592 I
0.911 0.000 0.735 I
0.911 0.500 0.235 I
0.610 0.000 0.427 As
0.610 0.500 0.927 As
0.638 0.000 0.129 Zr
0.638 0.500 0.629 Zr
```

Results
Raw formation energy, eV/atom: -0.518
DOS at the Fermi energy, states/eV/cell: 6.415
Space group: Cm
Total DFT energy (no corrections), eV/atom: -4.592

=====

Entry 2:
Compound: BaGaTe2I
Source: the Alexandria database
Functional: PBE-GGA
Structure: relaxed

```
BaGaTe2I
1.0
5.480 0.000 0.000
0.000 5.480 0.000
0.000 0.000 6.008
I Te Ba Ga
1 2 1 1
direct
0.000 0.000 0.500 I
0.000 0.500 0.000 Te
0.500 0.000 0.000 Te
0.500 0.500 0.500 Ba
0.000 0.000 0.000 Ga
```

Results
Raw formation energy, eV/atom: -0.774
DOS at the Fermi energy, states/eV/cell: 0.400
Space group: P4/mmm
Total DFT energy (no corrections), eV/atom: -3.330

=====

Entry 3:
Compound: LaGaSnPt3
Source: the Alexandria database
Functional: PBE-GGA
Structure: relaxed

```
LaGaSnPt3
1.0
-1.884 -3.823 3.901
3.579 -3.925 -2.118
4.197 4.512 6.448
La Ga Sn Pt
2 2 2 6
direct
0.750 0.299 0.597 La
0.250 0.701 0.403 La
0.250 0.093 0.187 Ga
0.750 0.907 0.813 Ga
0.250 0.399 0.799 Sn
0.750 0.601 0.201 Sn
0.250 0.241 0.483 Pt
0.000 0.244 0.000 Pt
0.500 0.756 0.000 Pt
0.500 0.244 0.000 Pt
0.000 0.756 0.000 Pt
0.750 0.759 0.517 Pt
```

Results
DOS at the Fermi energy, states/eV/cell: 5.115
Space group: Cmcm
ΔH_f (0 K), eV per atom: -0.728
Total DFT energy (no corrections), eV/atom: -5.741

=====

Entry 4:
Compound: Cu4Ru3
Source: the Alexandria database
Functional: PBE-GGA
Structure: relaxed

```
Cu4Ru3
1.0
2.487 -4.307 0.000
2.487 4.307 0.000
0.000 0.000 4.628
Cu Ru
4 3
direct
0.000 0.000 0.250 Cu
0.000 0.000 0.750 Cu
0.667 0.333 0.500 Cu
0.333 0.667 0.500 Cu
0.000 0.500 0.000 Ru
0.500 0.500 0.000 Ru
0.500 0.000 0.000 Ru
```

Results
DOS at the Fermi energy, states/eV/cell: 6.163
Space group: P6/mmm
ΔH_f (0 K), eV per atom: 0.482
Total DFT energy (no corrections), eV/atom: -5.834

=====

Entry 5:
Compound: Tb2Zn2CdPt5
Source: the Alexandria database
Functional: PBE-GGA
Structure: relaxed

```
Tb2Zn2CdPt5
1.0
-0.985 3.675 0.718
-4.869 -2.835 7.832
7.959 1.088 5.342
Tb Zn Cd Pt
4 4 2 10
direct
0.000 0.677 0.177 Tb
0.000 0.323 0.823 Tb
0.000 0.177 0.323 Tb
0.000 0.823 0.677 Tb
0.000 0.120 0.620 Zn
0.000 0.880 0.380 Zn
0.000 0.620 0.880 Zn
0.000 0.380 0.120 Zn
0.000 0.000 0.000 Cd
0.000 0.500 0.500 Cd
0.500 0.208 0.068 Pt
0.500 0.792 0.932 Pt
0.500 0.068 0.792 Pt
0.500 0.708 0.432 Pt
0.500 0.932 0.208 Pt
0.500 0.292 0.568 Pt
0.500 0.568 0.708 Pt
0.500 0.432 0.292 Pt
0.500 0.500 0.000 Pt
0.500 0.000 0.500 Pt
```

Results
DOS at the Fermi energy, states/eV/cell: 8.359
Space group: P4/mbm
ΔH_f (0 K), eV per atom: -0.798
Total DFT energy (no corrections), eV/atom: -5.091

=====

Entry 6:
Compound: LiNpPtRh
Source: the Alexandria database
Functional: PBE-GGA
Structure: relaxed

```
LiNpPtRh
1.0
4.618 0.000 0.000
2.309 3.999 0.000
2.309 1.333 3.770
Np Rh Pt Li
1 1 1 1
direct
0.000 0.000 0.000 Np
0.750 0.750 0.750 Rh
0.250 0.250 0.250 Pt
0.500 0.500 0.500 Li
```

Results
DOS at the Fermi energy, states/eV/cell: 4.756
Space group: F-43m
ΔH_f (0 K), eV per atom: -0.430
Total DFT energy (no corrections), eV/atom: -7.492

=====

Entry 7:
Compound: LaTm2Tl
Source: the Alexandria database
Functional: PBE-GGA
Structure: relaxed

```
LaTm2Tl
1.0
4.830 0.000 0.000
0.000 4.937 0.000
0.000 0.000 4.937
Tl Tm La
1 2 1
direct
0.500 0.000 0.000 Tl
0.000 0.000 0.500 Tm
0.000 0.500 0.000 Tm
0.500 0.500 0.500 La
```

Results
DOS at the Fermi energy, states/eV/cell: 5.560
Space group: P4/mmm
ΔH_f (0 K), eV per atom: -0.163
Total DFT energy (no corrections), eV/atom: -4.222

=====

Entry 8:
Compound: CsHg6As2
Source: the Alexandria database
Functional: PBE-GGA
Structure: relaxed

```
CsHg6As2
1.0
5.290 0.000 0.000
0.000 5.290 0.000
0.000 0.000 9.477
Cs Hg As
1 6 2
direct
0.000 0.000 0.000 Cs
0.000 0.500 0.295 Hg
0.500 0.000 0.295 Hg
0.000 0.500 0.705 Hg
0.500 0.000 0.705 Hg
0.500 0.500 0.500 Hg
0.000 0.000 0.500 Hg
0.500 0.500 0.124 As
0.500 0.500 0.876 As
```

Results
DOS at the Fermi energy, states/eV/cell: 1.454
Space group: P4/mmm
ΔH_f (0 K), eV per atom: -0.061
Total DFT energy (no corrections), eV/atom: -1.391

=====

Entry 9:
Compound: Ce3BiP2Rh9
Source: the Alexandria database
Functional: PBE-GGA
Structure: relaxed

```
Ce3BiP2Rh9
1.0
-2.462 -0.270 -5.180
-0.230 -4.525 3.527
-8.986 3.639 4.081
Ce Bi P Rh
3 1 2 9
direct
0.333 0.667 0.719 Ce
0.000 0.000 0.000 Ce
0.667 0.333 0.281 Ce
0.000 0.000 0.500 Bi
0.333 0.667 0.153 P
0.667 0.333 0.847 P
0.841 0.159 0.714 Rh
0.841 0.683 0.714 Rh
0.317 0.159 0.714 Rh
0.683 0.841 0.286 Rh
0.159 0.317 0.286 Rh
0.159 0.841 0.286 Rh
0.500 0.000 0.000 Rh
0.000 0.500 0.000 Rh
0.500 0.500 0.000 Rh
```

Results
DOS at the Fermi energy, states/eV/cell: 12.591
Space group: P-3m1
ΔH_f (0 K), eV per atom: -0.613
Total DFT energy (no corrections), eV/atom: -7.191

=====

Entry 10:
Compound: Sr2LiP
Source: the Alexandria database
Functional: PBE-GGA
Structure: relaxed

```
Sr2LiP
1.0
-5.130 0.981 -3.680
-1.591 0.158 -6.186
-0.913 -4.308 0.124
Li P Sr
1 1 2
direct
0.423 0.423 0.625 Li
0.312 0.312 0.125 P
0.022 0.022 0.125 Sr
0.743 0.743 0.625 Sr
```

Results
DOS at the Fermi energy, states/eV/cell: 2.071
Space group: Amm2
ΔH_f (0 K), eV per atom: -0.622
Total DFT energy (no corrections), eV/atom: -3.294

=====

Entry 11:
Compound: BaAc3Hg4
Source: the Alexandria database
Functional: PBE-GGA
Structure: relaxed

```
BaAc3Hg4
1.0
-3.393 3.593 2.953
-5.782 -0.723 -5.765
-4.533 -8.939 5.669
Ac Ba Hg
6 2 8
direct
0.000 0.000 0.000 Ac
0.000 0.000 0.500 Ac
0.500 0.000 0.750 Ac
0.500 0.000 0.250 Ac
0.500 0.500 0.750 Ac
0.500 0.500 0.250 Ac
0.000 0.500 0.000 Ba
0.000 0.500 0.500 Ba
0.500 0.758 0.000 Hg
0.500 0.758 0.500 Hg
0.500 0.242 0.000 Hg
0.500 0.242 0.500 Hg
0.000 0.757 0.750 Hg
0.000 0.757 0.250 Hg
0.000 0.243 0.250 Hg
0.000 0.243 0.750 Hg
```

Results
DOS at the Fermi energy, states/eV/cell: 13.061
Space group: P4/mmm
ΔH_f (0 K), eV per atom: -0.481
Total DFT energy (no corrections), eV/atom: -2.412

=====

Entry 12:
Compound: NbAs2HSe
Source: the Alexandria database
Functional: PBE-GGA
Structure: relaxed

```
NbAs2HSe
1.0
-1.859 -3.987 2.438
3.969 -2.732 -1.442
2.470 1.392 4.160
H Nb As Se
1 1 2 1
direct
0.500 0.500 0.500 H
0.000 0.000 0.000 Nb
0.000 0.500 0.000 As
0.500 0.000 0.000 As
0.000 0.000 0.500 Se
```

Results
DOS at the Fermi energy, states/eV/cell: 4.199
Space group: P4/mmm
Total DFT energy (no corrections), eV/atom: -4.659

=====

Entry 13:
Compound: Ac8Ir4S3Cl
Source: the Alexandria database
Functional: PBE-GGA
Structure: relaxed

```
Ac8Ir4S3Cl
1.0
8.583 0.000 0.000
0.000 9.029 0.312
-4.291 -4.289 6.071
Ac Ir S Cl
8 4 3 1
direct
0.262 0.775 0.014 Ac
0.262 0.775 0.523 Ac
0.243 0.230 0.487 Ac
0.752 0.775 0.014 Ac
0.248 0.225 0.986 Ac
0.757 0.770 0.513 Ac
0.738 0.225 0.477 Ac
0.738 0.225 0.986 Ac
0.500 0.000 0.000 Ir
0.500 0.000 0.500 Ir
0.000 0.000 0.000 Ir
0.000 0.000 0.500 Ir
0.500 0.500 0.000 S
0.500 0.500 0.500 S
0.000 0.500 0.500 S
0.000 0.500 0.000 Cl
```

Results
Raw formation energy, eV/atom: -1.292
DOS at the Fermi energy, states/eV/cell: 8.260
Space group: R-3m
Total DFT energy (no corrections), eV/atom: -6.451

=====

Entry 14:
Compound: Nd2Zn2AgPd5
Source: the Alexandria database
Functional: PBE-GGA
Structure: relaxed

```
Nd2Zn2AgPd5
1.0
-1.726 0.507 -3.443
-5.209 -8.136 1.413
-7.027 5.245 4.294
Nd Zn Ag Pd
4 4 2 10
direct
0.000 0.680 0.180 Nd
0.000 0.320 0.820 Nd
0.000 0.180 0.320 Nd
0.000 0.820 0.680 Nd
0.000 0.117 0.617 Zn
0.000 0.883 0.383 Zn
0.000 0.617 0.883 Zn
0.000 0.383 0.117 Zn
0.000 0.000 0.000 Ag
0.000 0.500 0.500 Ag
0.500 0.207 0.066 Pd
0.500 0.793 0.934 Pd
0.500 0.066 0.793 Pd
0.500 0.707 0.434 Pd
0.500 0.934 0.207 Pd
0.500 0.293 0.566 Pd
0.500 0.566 0.707 Pd
0.500 0.434 0.293 Pd
0.500 0.500 0.000 Pd
0.500 0.000 0.500 Pd
```

Results
DOS at the Fermi energy, states/eV/cell: 7.286
Space group: P4/mbm
ΔH_f (0 K), eV per atom: -0.574
Total DFT energy (no corrections), eV/atom: -4.664

=====

Entry 15:
Compound: Ir2SeCl
Source: the Alexandria database
Functional: PBE-GGA
Structure: relaxed

```
Ir2SeCl
1.0
4.241 -0.006 0.019
3.132 2.860 0.019
0.965 0.373 5.474
Cl Ir Se
1 2 1
direct
0.750 0.750 0.750 Cl
0.992 0.992 0.032 Ir
0.508 0.508 0.468 Ir
0.250 0.250 0.250 Se
```

Results
Raw formation energy, eV/atom: 0.647
DOS at the Fermi energy, states/eV/cell: 4.377
Space group: C2/m
Total DFT energy (no corrections), eV/atom: -5.117

=====

Entry 16:
Compound: PmNd4
Source: the Alexandria database
Functional: PBE-GGA
Structure: relaxed

```
PmNd4
1.0
-2.103 -3.015 0.155
3.016 -2.090 0.272
-0.934 3.552 12.739
Pm Nd
1 4
direct
0.000 0.000 0.000 Pm
0.600 0.600 0.199 Nd
0.200 0.200 0.400 Nd
0.800 0.800 0.600 Nd
0.400 0.400 0.801 Nd
```

Results
DOS at the Fermi energy, states/eV/cell: 7.681
Space group: I4/mmm
ΔH_f (0 K), eV per atom: 0.015
Total DFT energy (no corrections), eV/atom: -4.750

=====

Entry 17:
Compound: BaAs6Pb8
Source: the Alexandria database
Functional: PBE-GGA
Structure: relaxed

```
BaAs6Pb8
1.0
7.085 0.000 2.327
3.160 6.341 2.327
0.398 0.246 10.736
Ba As Pb
1 6 8
direct
0.000 0.000 0.000 Ba
0.936 0.585 0.199 As
0.720 0.064 0.801 As
0.415 0.720 0.801 As
0.585 0.280 0.199 As
0.280 0.936 0.199 As
0.064 0.415 0.801 As
0.791 0.441 0.650 Pb
0.882 0.209 0.350 Pb
0.559 0.882 0.350 Pb
0.333 0.333 0.000 Pb
0.667 0.667 0.000 Pb
0.441 0.118 0.650 Pb
0.118 0.791 0.650 Pb
0.209 0.559 0.350 Pb
```

Results
DOS at the Fermi energy, states/eV/cell: 1.370
Space group: R-3
ΔH_f (0 K), eV per atom: -0.204
Total DFT energy (no corrections), eV/atom: -4.170

=====

Entry 18:
Compound: YFe2Sb
Source: the Alexandria database
Functional: PBE-GGA
Structure: relaxed

```
YFe2Sb
1.0
-0.786 0.493 3.136
-0.780 -3.161 0.301
6.615 -1.452 1.886
Fe Sb Y
2 1 1
direct
0.000 0.000 0.056 Fe
0.500 0.500 0.217 Fe
0.000 0.000 0.440 Sb
0.500 0.500 0.787 Y
```

Results
Raw formation energy, eV/atom: -0.004
DOS at the Fermi energy, states/eV/cell: 3.832
Space group: P4mm
Total DFT energy (no corrections), eV/atom: -6.882

=====

Entry 19:
Compound: Hf2TiInW
Source: the Alexandria database
Functional: PBE-GGA
Structure: relaxed

```
Hf2TiInW
1.0
-1.221 4.477 -0.864
-4.456 -1.570 -1.837
-1.890 0.318 4.313
Ti Hf W In
1 2 1 1
direct
0.000 0.000 0.000 Ti
0.000 0.000 0.500 Hf
0.500 0.000 0.000 Hf
0.500 0.500 0.500 W
0.000 0.500 0.000 In
```

Results
DOS at the Fermi energy, states/eV/cell: 4.898
Space group: P4/mmm
ΔH_f (0 K), eV per atom: 1.444
Total DFT energy (no corrections), eV/atom: -7.254

=====

Entry 20:
Compound: La2Tb3Dy8
Source: the Alexandria database
Functional: PBE-GGA
Structure: relaxed

```
La2Tb3Dy8
1.0
-5.513 0.033 0.221
-0.295 -3.385 -6.870
0.281 -7.772 8.092
La Tb Dy
2 3 8
direct
0.499 0.240 0.481 La
0.501 0.760 0.519 La
0.500 0.000 0.000 Tb
0.000 0.290 0.000 Tb
0.000 0.710 0.000 Tb
0.000 0.659 0.317 Dy
0.000 0.341 0.683 Dy
0.000 0.125 0.250 Dy
0.000 0.875 0.750 Dy
0.500 0.607 0.790 Dy
0.500 0.183 0.790 Dy
0.500 0.817 0.210 Dy
0.500 0.393 0.210 Dy
```

Results
DOS at the Fermi energy, states/eV/cell: 22.595
Space group: C2/m
ΔH_f (0 K), eV per atom: 0.241
Total DFT energy (no corrections), eV/atom: -4.418

=====

Entry 21:
Compound: CaAl2Re
Source: the Alexandria database
Functional: PBE-GGA
Structure: relaxed

```
CaAl2Re
1.0
4.810 -0.047 -0.002
0.943 4.717 0.002
-2.871 -2.342 3.068
Re Ca Al
1 1 2
direct
0.250 0.750 0.500 Re
0.750 0.250 0.500 Ca
0.000 0.000 0.000 Al
0.500 0.500 0.000 Al
```

Results
DOS at the Fermi energy, states/eV/cell: 2.438
Space group: I4/mmm
ΔH_f (0 K), eV per atom: 0.099
Total DFT energy (no corrections), eV/atom: -5.385

=====

Entry 22:
Compound: Li4Ho3PuS8
Source: the Alexandria database
Functional: PBE-GGA
Structure: relaxed

```
Li4Ho3PuS8
1.0
-4.484 6.187 1.714
0.177 -1.921 7.397
6.629 0.971 -4.052
Li Ho Pu S
4 3 1 8
direct
0.500 0.000 0.000 Li
0.500 0.000 0.500 Li
0.000 0.000 0.000 Li
0.000 0.000 0.500 Li
0.500 0.500 0.000 Ho
0.500 0.500 0.500 Ho
0.000 0.500 0.500 Ho
0.000 0.500 0.000 Pu
0.252 0.750 0.999 S
0.252 0.750 0.504 S
0.250 0.250 0.500 S
0.747 0.750 0.999 S
0.253 0.250 0.001 S
0.750 0.750 0.500 S
0.748 0.250 0.496 S
0.748 0.250 0.001 S
```

Results
Raw formation energy, eV/atom: -1.764
DOS at the Fermi energy, states/eV/cell: 11.265
Space group: R-3m
Total DFT energy (no corrections), eV/atom: -6.060

=====

Entry 23:
Compound: Zr2Tc2Os
Source: the Alexandria database
Functional: PBE-GGA
Structure: relaxed

```
Zr2Tc2Os
1.0
-6.035 2.336 0.518
-0.728 -3.132 5.639
1.540 3.503 2.145
Os Tc Zr
2 4 4
direct
0.000 0.000 0.000 Os
0.500 0.500 0.000 Os
0.364 0.864 0.000 Tc
0.864 0.636 0.000 Tc
0.636 0.136 0.000 Tc
0.136 0.364 0.000 Tc
0.183 0.683 0.500 Zr
0.683 0.817 0.500 Zr
0.817 0.317 0.500 Zr
0.317 0.183 0.500 Zr
```

Results
DOS at the Fermi energy, states/eV/cell: 12.944
Space group: P4/mbm
ΔH_f (0 K), eV per atom: -0.042
Total DFT energy (no corrections), eV/atom: -9.854